Below is a PBEsol-optimized structure of PmPd3, with properties calculated at the SCAN level.

Summary:
Energy relative to the elements, eV/f.u.: -3.43

abc: 4.1032 4.1032 4.1032
angles: 90.00 90.00 90.00
Fractional coordinates of all 4 atoms:
Pd1 0.5000 0.5000 0.0000
Pm1 0.0000 0.0000 0.0000
Pd2 0.5000 0.0000 0.5000
Pd3 0.0000 0.5000 0.5000

Below is a PBEsol-optimized structure of Ba2NbTcPb, with properties calculated at the SCAN level.

Summary:
Energy relative to the elements, eV/f.u.: 6.43

abc: 5.4213 5.7835 5.7835
angles: 90.00 90.00 90.00
Each line ends with the local moment (μB).
Fractional coordinates of all 5 atoms:
Ba1 0.0000 0.5000 0.0000  0.03
Nb1 0.0000 0.0000 0.0000  1.08
Tc1 0.5000 0.5000 0.5000  3.75
Ba2 0.0000 0.0000 0.5000  0.03
Pb1 0.5000 0.0000 0.0000  -0.03

Below is a PBEsol-optimized structure of KMg2Zn2, with properties calculated at the SCAN level.

Summary:
Energy relative to the elements, eV/f.u.: 0.20

abc: 4.6403 4.6403 6.6598
angles: 110.39 110.39 90.00
Fractional coordinates of all 5 atoms:
Mg1 0.7500 0.2500 0.5000
Zn1 0.6086 0.6086 0.2173
K1 0.0000 0.0000 0.0000
Zn2 0.3914 0.3914 0.7827
Mg2 0.2500 0.7500 0.5000